PmPu2Ga9 | PBE | relaxed

Calculated values
Mass density, Mg/m³: 8.8
Energy of formation, kcal/mol of atoms: -7.6

Cell: 5.564 5.564 9.433 Å, 72.85 72.85 60.00°
Fractional positions:
Pm 0.000 0.000 0.000
Pu 0.858 0.858 0.426
Pu 0.142 0.142 0.574
Ga 0.664 0.664 0.008
Ga 0.336 0.336 0.992
Ga 0.500 0.500 0.500
Ga 0.411 0.411 0.253
Ga 0.924 0.411 0.253
Ga 0.411 0.924 0.253
Ga 0.589 0.589 0.747
Ga 0.589 0.076 0.747
Ga 0.076 0.589 0.747

***

PmPuGa2 | PBE | relaxed

Calculated values
Mass density, Mg/m³: 9.4
Energy of formation, kcal/mol of atoms: -8.9

Cell: 3.342 3.342 8.383 Å, 90.00 90.00 90.00°
Fractional positions:
Pm 0.500 0.500 0.500
Ga 0.000 0.000 0.754
Ga 0.000 0.000 0.246
Pu 0.500 0.500 0.000

***

Pm4PuGa5 | PBE | relaxed

Calculated values
Mass density, Mg/m³: 8.0
Energy of formation, kcal/mol of atoms: -11.5

Cell: 3.643 3.643 18.318 Å, 90.00 90.00 90.00°
Fractional positions:
Pm 0.000 0.000 0.196
Pm 0.000 0.000 0.398
Pm 0.000 0.000 0.602
Pm 0.000 0.000 0.804
Pu 0.000 0.000 0.000
Ga 0.500 0.500 0.095
Ga 0.500 0.500 0.297
Ga 0.500 0.500 0.500
Ga 0.500 0.500 0.703
Ga 0.500 0.500 0.905

***

Pm2PuGa9 | PBE | relaxed

Calculated values
Mass density, Mg/m³: 7.9
Energy of formation, kcal/mol of atoms: -11.0

Cell: 4.326 4.326 13.009 Å, 90.00 90.00 90.00°
Fractional positions:
Pm 0.000 0.000 0.332
Pm 0.000 0.000 0.668
Pu 0.000 0.000 0.000
Ga 0.500 0.500 0.000
Ga 0.500 0.500 0.331
Ga 0.500 0.500 0.669
Ga 0.500 0.000 0.161
Ga 0.500 0.000 0.500
Ga 0.500 0.000 0.839
Ga 0.000 0.500 0.161
Ga 0.000 0.500 0.500
Ga 0.000 0.500 0.839

***

Density of states at the Fermi level / states/eV/cell: 17.75; 8.03; 10.93; 13.45